Record 1
Entry from Alexandria: a relaxed Ce7PdBr12 crystal (PBE-GGA).

The structure in CIF format:
```
data_Ce7PdBr12
_space_group_name_H-M_alt 'P 1'
_space_group_IT_number 1
_space_group_name_Hall 'P 1'
_cell_length_a 9.562
_cell_length_b 9.562
_cell_length_c 9.562
_cell_angle_alpha 108.66
_cell_angle_beta 108.66
_cell_angle_gamma 108.66
loop_
_atom_site_label
_atom_site_fract_x
_atom_site_fract_y
_atom_site_fract_z
Ce1 0.000 0.000 0.000
Ce2 0.161 0.451 0.370
Ce3 0.370 0.161 0.451
Ce4 0.451 0.370 0.161
Ce5 0.549 0.630 0.839
Ce6 0.630 0.839 0.549
Ce7 0.839 0.549 0.630
Pd1 0.500 0.500 0.500
Br1 0.016 0.106 0.341
Br2 0.106 0.341 0.016
Br3 0.192 0.575 0.718
Br4 0.282 0.808 0.424
Br5 0.341 0.016 0.106
Br6 0.424 0.282 0.808
Br7 0.576 0.718 0.192
Br8 0.659 0.984 0.894
Br9 0.718 0.192 0.576
Br10 0.808 0.424 0.282
Br11 0.894 0.659 0.984
Br12 0.984 0.894 0.659
```

Total magnetic moment, μB per cell: 9.5
E_form (uncorrected), eV per atom: -1.50

Record 2
Entry from Alexandria: a relaxed Ta3SiRu crystal (PBE-GGA).

The structure in CIF format:
```
data_Ta3SiRu
_space_group_name_H-M_alt 'P 1'
_space_group_IT_number 1
_space_group_name_Hall 'P 1'
_cell_length_a 4.575
_cell_length_b 4.575
_cell_length_c 4.575
_cell_angle_alpha 90.00
_cell_angle_beta 90.00
_cell_angle_gamma 90.00
loop_
_atom_site_label
_atom_site_fract_x
_atom_site_fract_y
_atom_site_fract_z
Ta1 0.000 0.000 0.500
Ta2 0.000 0.500 0.000
Ta3 0.500 0.000 0.000
Si1 0.000 0.000 0.000
Ru1 0.500 0.500 0.500
```

Total magnetic moment, μB per cell: 0.0
E_form (uncorrected), eV per atom: 0.92

Record 3
Entry from Alexandria: a relaxed Ac3Sc crystal (PBE-GGA).

The structure in CIF format:
```
data_Ac3Sc
_space_group_name_H-M_alt 'P 1'
_space_group_IT_number 1
_space_group_name_Hall 'P 1'
_cell_length_a 7.269
_cell_length_b 7.269
_cell_length_c 7.269
_cell_angle_alpha 148.48
_cell_angle_beta 63.05
_cell_angle_gamma 126.92
loop_
_atom_site_label
_atom_site_fract_x
_atom_site_fract_y
_atom_site_fract_z
Ac1 0.000 0.000 0.000
Ac2 0.144 0.377 0.767
Ac3 0.610 0.377 0.233
Sc1 0.506 0.006 0.500
```

Total magnetic moment, μB per cell: 0.0
ΔE_f, eV/f.u.: 0.5

Record 4
Entry from Alexandria: a relaxed DyUAsO2 crystal (PBE-GGA).

The structure in CIF format:
```
data_DyUAsO2
_space_group_name_H-M_alt 'P 1'
_space_group_IT_number 1
_space_group_name_Hall 'P 1'
_cell_length_a 6.642
_cell_length_b 6.642
_cell_length_c 6.642
_cell_angle_alpha 147.03
_cell_angle_beta 147.03
_cell_angle_gamma 47.33
loop_
_atom_site_label
_atom_site_fract_x
_atom_site_fract_y
_atom_site_fract_z
Dy1 0.000 0.000 0.000
U1 0.708 0.708 0.000
As1 0.350 0.350 0.000
O1 0.105 0.605 0.500
O2 0.605 0.105 0.500
```

Total magnetic moment, μB per cell: 2.0
E_form (uncorrected), eV per atom: -2.50

Record 5
Entry from Alexandria: a relaxed CaNpTlF6 crystal (PBE-GGA).

The structure in CIF format:
```
data_CaNpTlF6
_space_group_name_H-M_alt 'P 1'
_space_group_IT_number 1
_space_group_name_Hall 'P 1'
_cell_length_a 6.339
_cell_length_b 6.339
_cell_length_c 10.850
_cell_angle_alpha 90.00
_cell_angle_beta 90.00
_cell_angle_gamma 120.00
loop_
_atom_site_label
_atom_site_fract_x
_atom_site_fract_y
_atom_site_fract_z
Ca1 0.333 0.667 0.250
Ca2 0.667 0.333 0.750
Np1 0.333 0.667 0.750
Np2 0.667 0.333 0.250
Tl1 0.000 0.000 0.000
Tl2 0.000 0.000 0.500
F1 0.002 0.379 0.143
F2 0.002 0.623 0.357
F3 0.377 0.379 0.357
F4 0.377 0.998 0.143
F5 0.379 0.002 0.643
F6 0.379 0.377 0.857
F7 0.621 0.623 0.143
F8 0.621 0.998 0.357
F9 0.623 0.002 0.857
F10 0.623 0.621 0.643
F11 0.998 0.377 0.643
F12 0.998 0.621 0.857
```

Total magnetic moment, μB per cell: 8.0
E_form (uncorrected), eV per atom: -3.18

Record 6
Entry from Alexandria: a relaxed Pm5Tm7 crystal (PBE-GGA).

The structure in CIF format:
```
data_Pm5Tm7
_space_group_name_H-M_alt 'P 1'
_space_group_IT_number 1
_space_group_name_Hall 'P 1'
_cell_length_a 5.601
_cell_length_b 5.601
_cell_length_c 14.636
_cell_angle_alpha 101.15
_cell_angle_beta 101.15
_cell_angle_gamma 60.41
loop_
_atom_site_label
_atom_site_fract_x
_atom_site_fract_y
_atom_site_fract_z
Pm1 0.000 0.000 0.000
Pm2 0.143 0.143 0.435
Pm3 0.396 0.396 0.200
Pm4 0.604 0.604 0.800
Pm5 0.857 0.857 0.565
Tm1 0.066 0.066 0.214
Tm2 0.228 0.228 0.673
Tm3 0.308 0.308 0.918
Tm4 0.500 0.500 0.500
Tm5 0.692 0.692 0.082
Tm6 0.772 0.772 0.327
Tm7 0.934 0.934 0.786
```

Total magnetic moment, μB per cell: 0.0
ΔE_f, eV/f.u.: 2.2

Record 7
Entry from Alexandria: a relaxed PrGaSnPd crystal (PBE-GGA).

The structure in CIF format:
```
data_PrGaSnPd
_space_group_name_H-M_alt 'P 1'
_space_group_IT_number 1
_space_group_name_Hall 'P 1'
_cell_length_a 5.006
_cell_length_b 5.006
_cell_length_c 5.006
_cell_angle_alpha 60.00
_cell_angle_beta 60.00
_cell_angle_gamma 60.00
loop_
_atom_site_label
_atom_site_fract_x
_atom_site_fract_y
_atom_site_fract_z
Pr1 0.000 0.000 0.000
Ga1 0.750 0.750 0.750
Sn1 0.500 0.500 0.500
Pd1 0.250 0.250 0.250
```

Total magnetic moment, μB per cell: 0.0
ΔE_f, eV/f.u.: -2.4

Record 8
Entry from Alexandria: a relaxed Pm2Nd8Sc3 crystal (PBE-GGA).

The structure in CIF format:
```
data_Pm2Nd8Sc3
_space_group_name_H-M_alt 'P 1'
_space_group_IT_number 1
_space_group_name_Hall 'P 1'
_cell_length_a 8.775
_cell_length_b 8.775
_cell_length_c 6.698
_cell_angle_alpha 98.13
_cell_angle_beta 98.13
_cell_angle_gamma 60.96
loop_
_atom_site_label
_atom_site_fract_x
_atom_site_fract_y
_atom_site_fract_z
Pm1 0.198 0.198 0.299
Pm2 0.802 0.802 0.701
Nd1 0.187 0.187 0.817
Nd2 0.207 0.573 0.569
Nd3 0.408 0.408 0.098
Nd4 0.427 0.793 0.431
Nd5 0.573 0.207 0.569
Nd6 0.592 0.592 0.902
Nd7 0.793 0.427 0.431
Nd8 0.813 0.813 0.183
Sc1 0.000 0.000 0.500
Sc2 0.161 0.839 0.000
Sc3 0.839 0.161 0.000
```

Total magnetic moment, μB per cell: 0.0
ΔE_f, eV/f.u.: 3.1

Record 9
Entry from Alexandria: a relaxed VPdPbAu2 crystal (PBE-GGA).

The structure in CIF format:
```
data_VPdPbAu2
_space_group_name_H-M_alt 'P 1'
_space_group_IT_number 1
_space_group_name_Hall 'P 1'
_cell_length_a 5.022
_cell_length_b 5.022
_cell_length_c 4.679
_cell_angle_alpha 90.00
_cell_angle_beta 90.00
_cell_angle_gamma 90.00
loop_
_atom_site_label
_atom_site_fract_x
_atom_site_fract_y
_atom_site_fract_z
V1 0.000 0.000 0.000
Pd1 0.000 0.000 0.500
Pb1 0.500 0.500 0.500
Au1 0.000 0.500 0.000
Au2 0.500 0.000 0.000
```

Total magnetic moment, μB per cell: 2.3
ΔE_f, eV/f.u.: 2.7

Record 10
Entry from Alexandria: a relaxed Ge3AsO crystal (PBE-GGA).

The structure in CIF format:
```
data_Ge3AsO
_space_group_name_H-M_alt 'P 1'
_space_group_IT_number 1
_space_group_name_Hall 'P 1'
_cell_length_a 4.516
_cell_length_b 4.516
_cell_length_c 4.516
_cell_angle_alpha 90.00
_cell_angle_beta 90.00
_cell_angle_gamma 90.00
loop_
_atom_site_label
_atom_site_fract_x
_atom_site_fract_y
_atom_site_fract_z
Ge1 0.000 0.000 0.500
Ge2 0.000 0.500 0.000
Ge3 0.500 0.000 0.000
As1 0.500 0.500 0.500
O1 0.000 0.000 0.000
```

Total magnetic moment, μB per cell: 0.0
E_form (uncorrected), eV per atom: 0.04

Record 11
Entry from Alexandria: a relaxed NaCa3Tb2S6 crystal (PBE-GGA).

The structure in CIF format:
```
data_NaCa3Tb2S6
_space_group_name_H-M_alt 'P 1'
_space_group_IT_number 1
_space_group_name_Hall 'P 1'
_cell_length_a 6.928
_cell_length_b 6.928
_cell_length_c 6.924
_cell_angle_alpha 99.62
_cell_angle_beta 99.62
_cell_angle_gamma 119.94
loop_
_atom_site_label
_atom_site_fract_x
_atom_site_fract_y
_atom_site_fract_z
Na1 0.000 0.000 0.000
Ca1 0.164 0.836 0.500
Ca2 0.500 0.500 0.500
Ca3 0.836 0.164 0.500
Tb1 0.333 0.667 0.000
Tb2 0.667 0.333 0.000
S1 0.082 0.425 0.246
S2 0.260 0.260 0.755
S3 0.425 0.082 0.246
S4 0.575 0.918 0.754
S5 0.740 0.740 0.245
S6 0.918 0.575 0.754
```

Total magnetic moment, μB per cell: 0.0
E_form (uncorrected), eV per atom: -2.01

Record 12
Entry from Alexandria: a relaxed Pr3Dy2Mg crystal (PBE-GGA).

The structure in CIF format:
```
data_Pr3Dy2Mg
_space_group_name_H-M_alt 'P 1'
_space_group_IT_number 1
_space_group_name_Hall 'P 1'
_cell_length_a 10.711
_cell_length_b 10.711
_cell_length_c 11.676
_cell_angle_alpha 120.34
_cell_angle_beta 120.34
_cell_angle_gamma 20.03
loop_
_atom_site_label
_atom_site_fract_x
_atom_site_fract_y
_atom_site_fract_z
Pr1 0.073 0.073 0.421
Pr2 0.252 0.252 0.370
Pr3 0.394 0.394 0.275
Pr4 0.606 0.606 0.725
Pr5 0.748 0.748 0.630
Pr6 0.927 0.927 0.579
Dy1 0.058 0.058 0.932
Dy2 0.279 0.279 0.913
Dy3 0.721 0.721 0.087
Dy4 0.942 0.942 0.068
Mg1 0.405 0.405 0.803
Mg2 0.595 0.595 0.197
```

Total magnetic moment, μB per cell: 0.0
ΔE_f, eV/f.u.: 0.0